i | ! PBE AgAuC3, optimized geometry; values from VASP
! Symmetry = No. 221
! DOS(E_F) = 0.2331 states/eV/atom
&SYSTEM
  ibrav = 0, nat = 5, ntyp = 3
/
ATOMIC_SPECIES
C 12.01 C.upf
Au 196.97 Au.upf
Ag 107.87 Ag.upf
ATOMIC_POSITIONS crystal
C 0.000 0.000 0.500
C 0.500 0.000 0.000
C 0.000 0.500 0.000
Au 0.000 0.000 0.000
Ag 0.500 0.500 0.500
CELL_PARAMETERS angstrom
-3.004 -2.584 -1.314
2.831 -3.023 -0.528
-0.625 -1.271 3.927

=====

ii | ! PBE AgAuC3, optimized geometry; values from VASP
! Symmetry = No. 221
! DOS(E_F) = 0.3444 states/eV/atom
&SYSTEM
  ibrav = 0, nat = 5, ntyp = 3
/
ATOMIC_SPECIES
Au 196.97 Au.upf
C 12.01 C.upf
Ag 107.87 Ag.upf
ATOMIC_POSITIONS crystal
Au 0.500 0.500 0.500
C 0.000 0.000 0.500
C 0.500 0.000 0.000
C 0.000 0.500 0.000
Ag 0.000 0.000 0.000
CELL_PARAMETERS angstrom
4.162 0.000 0.000
0.000 4.162 0.000
0.000 0.000 4.162

=====

Most favorable structure: i. The second most favorable one is 182 meV per atom above it.

=====

i | ! PBE Ag3AuC, optimized geometry; values from VASP
! Symmetry = No. 221
! DOS(E_F) = 0.5064 states/eV/atom
&SYSTEM
  ibrav = 0, nat = 5, ntyp = 3
/
ATOMIC_SPECIES
C 12.01 C.upf
Ag 107.87 Ag.upf
Au 196.97 Au.upf
ATOMIC_POSITIONS crystal
C 0.500 0.500 0.500
Ag 0.000 0.500 0.000
Ag 0.000 0.000 0.500
Ag 0.500 0.000 0.000
Au 0.000 0.000 0.000
CELL_PARAMETERS angstrom
-1.460 -0.700 4.941
0.704 -5.126 -0.518
4.941 0.523 1.534

=====

ii | ! PBE Ag3AuC, optimized geometry; values from VASP
! Symmetry = No. 221
! DOS(E_F) = 0.0032 states/eV/atom
&SYSTEM
  ibrav = 0, nat = 5, ntyp = 3
/
ATOMIC_SPECIES
Ag 107.87 Ag.upf
Au 196.97 Au.upf
C 12.01 C.upf
ATOMIC_POSITIONS crystal
Ag 0.000 0.500 0.000
Ag 0.500 0.000 0.000
Ag 0.000 0.000 0.500
Au 0.500 0.500 0.500
C 0.000 0.000 0.000
CELL_PARAMETERS angstrom
-0.573 -1.588 -3.982
1.076 -3.942 1.417
-4.150 -0.803 0.917

=====

Most favorable structure: ii. The second most favorable one is 1235 meV per atom above it.

=====

i | ! PBE CaAgAu2C, optimized geometry; values from VASP
! Symmetry = No. 123
! DOS(E_F) = 0.5292 states/eV/atom
&SYSTEM
  ibrav = 0, nat = 5, ntyp = 4
/
ATOMIC_SPECIES
Ag 107.87 Ag.upf
C 12.01 C.upf
Au 196.97 Au.upf
Ca 40.08 Ca.upf
ATOMIC_POSITIONS crystal
Ag 0.500 0.500 0.500
C 0.000 0.500 0.000
Au 0.500 0.000 0.000
Au 0.000 0.000 0.500
Ca 0.000 0.000 0.000
CELL_PARAMETERS angstrom
-2.198 1.979 -4.655
-4.297 -0.684 1.738
0.055 5.084 2.136

=====

ii | ! PBE CaAgAu2C, optimized geometry; values from VASP
! Symmetry = No. 123
! DOS(E_F) = 0.3549 states/eV/atom
&SYSTEM
  ibrav = 0, nat = 5, ntyp = 4
/
ATOMIC_SPECIES
Ag 107.87 Ag.upf
Au 196.97 Au.upf
Ca 40.08 Ca.upf
C 12.01 C.upf
ATOMIC_POSITIONS crystal
Ag 0.000 0.500 0.000
Au 0.500 0.000 0.000
Au 0.000 0.000 0.500
Ca 0.500 0.500 0.500
C 0.000 0.000 0.000
CELL_PARAMETERS angstrom
-0.260 -1.361 -4.273
3.411 -2.798 0.684
-2.887 -3.225 1.203

=====

Most favorable structure: ii. The second most favorable one is 1206 meV per atom above it.

=====

i | ! PBE AgIrAuC, optimized geometry; values from VASP
! Symmetry = No. 38
! DOS(E_F) = 0.1756 states/eV/atom
&SYSTEM
  ibrav = 0, nat = 8, ntyp = 4
/
ATOMIC_SPECIES
Ir 192.22 Ir.upf
Au 196.97 Au.upf
Ag 107.87 Ag.upf
C 12.01 C.upf
ATOMIC_POSITIONS crystal
Ir 0.000 0.500 0.912
Ir 0.000 0.000 0.412
Au 0.500 0.000 0.961
Au 0.500 0.500 0.461
Ag 0.000 0.000 0.144
Ag 0.000 0.500 0.644
C 0.000 0.000 0.813
C 0.000 0.500 0.313
CELL_PARAMETERS angstrom
-3.476 1.868 2.257
-2.010 -1.128 -2.162
-1.081 -8.718 5.551

=====

ii | ! PBE AgIrAuC, optimized geometry; values from VASP
! Symmetry = No. 8
! DOS(E_F) = 0.2612 states/eV/atom
&SYSTEM
  ibrav = 0, nat = 8, ntyp = 4
/
ATOMIC_SPECIES
Au 196.97 Au.upf
C 12.01 C.upf
Ir 192.22 Ir.upf
Ag 107.87 Ag.upf
ATOMIC_POSITIONS crystal
Au 0.335 0.500 0.647
Au 0.335 0.000 0.147
C 0.107 0.500 0.423
C 0.107 0.000 0.923
Ir 0.999 0.000 0.312
Ir 0.999 0.500 0.812
Ag 0.712 0.000 0.524
Ag 0.712 0.500 0.024
CELL_PARAMETERS angstrom
-3.102 1.499 -2.774
-2.201 -1.548 1.624
1.828 6.090 8.280

=====

Most favorable structure: ii. The second most favorable one is 14 meV per atom above it.